# Sc2AsPb (PBE-GGA, relaxed)
data_Sc2AsPb
_chemical_formula_sum 'Sc4 As2 Pb2'
_symmetry_space_group_name_H-M 'C 1 2/m 1'
_symmetry_Int_Tables_number 12
_symmetry_space_group_name_Hall '-C 2y'
_cell_length_a 6.5603
_cell_length_b 3.7892
_cell_length_c 7.8693
_cell_angle_alpha 90.00
_cell_angle_beta 106.05
_cell_angle_gamma 90.00
loop_
_atom_site_label
_atom_site_type_symbol
_atom_site_fract_x
_atom_site_fract_y
_atom_site_fract_z
Sc1 Sc 0.2335 0.0000 0.2023
As1 As 0.0000 0.5000 0.0000
Pb1 Pb 0.0000 0.0000 0.5000
# * magnetization: 0.0 μB per cell
# * calculated formation energy: -878 meV/atom